Entry 1:
A plane-wave DFT calculation with PBEsol was carried out for an optimized crystal structure of KMgSc2.

abc: 5.8376 5.8376 5.8376
angles: 130.00 130.00 73.41
Last column: nearest neighbours and their distance in Å.
Element x y z (fractional)
K  0.0000  0.0000  0.0000  8 Sc 3.40-3.49, 4 Mg 3.40
Mg  0.7500  0.2500  0.5000  8 Sc 3.40-3.49, 4 K 3.40
Sc  0.2500  0.7500  0.5000  4 Sc 3.40, 4 K 3.40, 4 Mg 3.49
Sc  0.5000  0.5000  0.0000  4 Mg 3.40, 4 Sc 3.40, 4 K 3.49

Properties
The formation energy is 598.1 meV/atom. Its calculated density is 2.2 g/cm³. The crystal system is tetragonal. As for the magnetization: 1.0 μB per formula unit. The calculation puts the density of states at the Fermi level at 7.2 states/eV per cell.


Entry 2:
A plane-wave DFT calculation with PBEsol was carried out for an optimized crystal structure of YAl3Cl12.

abc: 10.5701 10.5701 15.8149
angles: 90.00 90.00 120.00
Last column: nearest neighbours and their distance in Å.
Element x y z (fractional)
Y  0.0157  0.5079  0.0000  8 Cl 2.70-2.86
Y  0.4921  0.5079  0.3333  8 Cl 2.70-2.86
Y  0.4921  0.9843  0.6667  8 Cl 2.70-2.86
Al  0.2719  0.5438  0.1667  4 Cl 2.14-2.15
Al  0.2719  0.7281  0.8333  4 Cl 2.14-2.15
Al  0.3612  0.1298  0.2685  4 Cl 2.09-2.22
Al  0.3612  0.2314  0.7315  4 Cl 2.09-2.22
Al  0.4562  0.7281  0.5000  4 Cl 2.14-2.15
Al  0.7686  0.1298  0.0648  4 Cl 2.09-2.22
Al  0.7686  0.6388  0.9352  4 Cl 2.09-2.22
Al  0.8702  0.2314  0.6018  4 Cl 2.09-2.22
Al  0.8702  0.6388  0.3982  4 Cl 2.09-2.22
Cl  0.1603  0.0078  0.2067  1 Al 2.09
Cl  0.1603  0.1525  0.7933  1 Al 2.09
Cl  0.1678  0.4967  0.8530  1 Al 2.14
Cl  0.1678  0.6711  0.1470  1 Al 2.14
Cl  0.2064  0.4128  0.0535  1 Al 2.15
Cl  0.2063  0.4128  0.2798  1 Al 2.15
Cl  0.2063  0.7936  0.7202  1 Al 2.15
Cl  0.2064  0.7937  0.9465  1 Al 2.15
Cl  0.3289  0.4967  0.4804  1 Al 2.14
Cl  0.3289  0.8322  0.5196  1 Al 2.14
Cl  0.3386  0.1128  0.6121  1 Al 2.21
Cl  0.3386  0.2258  0.3879  1 Al 2.21
Cl  0.4857  0.0286  0.2900  1 Al 2.10
Cl  0.4857  0.4571  0.7100  1 Al 2.10
Cl  0.4951  0.1520  0.7962  1 Al 2.22
Cl  0.4951  0.3430  0.2038  1 Al 2.22
Cl  0.5033  0.6711  0.1863  1 Al 2.14
Cl  0.5033  0.8322  0.8137  1 Al 2.14
Cl  0.5429  0.0286  0.0434  1 Al 2.10
Cl  0.5429  0.5143  0.9566  1 Al 2.10
Cl  0.5872  0.7937  0.3868  1 Al 2.15
Cl  0.5872  0.7936  0.6132  1 Al 2.15
Cl  0.6570  0.1520  0.5371  1 Al 2.22
Cl  0.6570  0.5049  0.4629  1 Al 2.22
Cl  0.7742  0.1128  0.7212  1 Al 2.21
Cl  0.7742  0.6614  0.2788  1 Al 2.21
Cl  0.8475  0.0078  0.1266  1 Al 2.09
Cl  0.8480  0.3430  0.1296  1 Al 2.22
Cl  0.8480  0.5049  0.8704  1 Al 2.22
Cl  0.8475  0.8397  0.8734  1 Al 2.09
Cl  0.8872  0.2258  0.9455  1 Al 2.21
Cl  0.8872  0.6614  0.0545  1 Al 2.21
Cl  0.9714  0.4571  0.6233  1 Al 2.10
Cl  0.9714  0.5143  0.3767  1 Al 2.10
Cl  0.9922  0.1525  0.5400  1 Al 2.09
Cl  0.9922  0.8397  0.4600  1 Al 2.09

Properties
The value obtained for the energy relative to the elements, uncorrected is -1.69 eV per atom. Its calculated density is 1.9 g/cm³. The crystal system is trigonal. As for the magnetization: 0.0 μB per formula unit. The calculation puts the density of states at the Fermi level at 0.0 states/eV per cell.


Entry 3:
A plane-wave DFT calculation with PBEsol was carried out for an optimized crystal structure of MgSb2TeI.

abc: 5.6995 5.6995 5.7918
angles: 90.00 90.00 90.00
Last column: nearest neighbours and their distance in Å.
Element x y z (fractional)
Mg  0.0000  0.0000  0.0000  4 I 4.03, 8 Sb 4.06
Sb  0.0000  0.5000  0.5000  2 Te 2.85
Sb  0.5000  0.0000  0.5000  2 Te 2.85
Te  0.5000  0.5000  0.5000  4 Sb 2.85, 2 I 2.90
I  0.5000  0.5000  0.0000  2 Te 2.90

Properties
The value obtained for the energy relative to the elements, uncorrected is 0.62 eV per atom. Its calculated density is 4.6 g/cm³. The crystal system is tetragonal. The distance to the lowest polymorph of the same formula is 0 meV/atom. As for the magnetization: 0.0 μB per formula unit. The calculation puts the density of states at the Fermi level at 6.2 states/eV per cell.